[1]
# Ba12SrCa3Ru8O36, relaxed, DFT GGA-PBE
# spin magnetization	24.19	Bohr magnetons per cell
# energy relative to the elements, uncorrected	-11831	kJ/mol of formula units
# Fermi-level density of states	5.79	states/eV/f.u.
data_Ba12SrCa3Ru8O36
_chemical_formula_sum 'Ba12 Sr1 Ca3 Ru8 O36'
_space_group_name_H-M_alt 'P -3 m 1'
_space_group_IT_number 164
_space_group_name_Hall '-P 3 2"'
_cell_length_a 5.9762
_cell_length_b 5.9762
_cell_length_c 30.3221
_cell_angle_alpha 90.00
_cell_angle_beta 90.00
_cell_angle_gamma 120.00
loop_
_atom_site_label
_atom_site_type_symbol
_atom_site_fract_x
_atom_site_fract_y
_atom_site_fract_z
Ba1 Ba 0.0000 0.0000 0.1230
Ba2 Ba 0.0000 0.0000 0.3688
Ba3 Ba 0.3333 0.6667 0.2931
Ba4 Ba 0.3333 0.6667 0.4354
Ba5 Ba 0.3333 0.6667 0.8025
Ba6 Ba 0.3333 0.6667 0.9510
Sr1 Sr 0.0000 0.0000 0.5000
Ca1 Ca 0.0000 0.0000 0.0000
Ca2 Ca 0.0000 0.0000 0.2460
Ru1 Ru 0.3333 0.6667 0.0773
Ru2 Ru 0.3333 0.6667 0.1685
Ru3 Ru 0.3333 0.6667 0.5848
Ru4 Ru 0.3333 0.6667 0.6767
O1 O 0.0310 0.5155 0.6316
O2 O 0.0321 0.5161 0.1230
O3 O 0.1750 0.3501 0.5534
O4 O 0.1761 0.3521 0.0446
O5 O 0.1763 0.3526 0.2015
O6 O 0.1766 0.3532 0.7099

***

[2]
# Ba6Ca2TaRu3O18, relaxed, DFT GGA-PBE
# spin magnetization	9.04	Bohr magnetons per cell
# energy relative to the elements, uncorrected	-6646	kJ/mol of formula units
# Fermi-level density of states	0.84	states/eV/f.u.
data_Ba6Ca2TaRu3O18
_chemical_formula_sum 'Ba6 Ca2 Ta1 Ru3 O18'
_space_group_name_H-M_alt 'P 3 m 1'
_space_group_IT_number 156
_space_group_name_Hall 'P 3 -2"'
_cell_length_a 6.0009
_cell_length_b 6.0009
_cell_length_c 14.9576
_cell_angle_alpha 90.00
_cell_angle_beta 90.00
_cell_angle_gamma 120.00
loop_
_atom_site_label
_atom_site_type_symbol
_atom_site_fract_x
_atom_site_fract_y
_atom_site_fract_z
Ba1 Ba 0.0000 0.0000 0.0000
Ba2 Ba 0.0000 0.0000 0.3003
Ba3 Ba 0.3333 0.6667 0.1418
Ba4 Ba 0.3333 0.6667 0.6372
Ba5 Ba 0.6667 0.3333 0.4948
Ba6 Ba 0.6667 0.3333 0.8010
Ca1 Ca 0.3333 0.6667 0.3884
Ca2 Ca 0.3333 0.6667 0.8892
Ta1 Ta 0.0000 0.0000 0.7330
Ru1 Ru 0.0000 0.0000 0.5440
Ru2 Ru 0.6667 0.3333 0.0456
Ru3 Ru 0.6667 0.3333 0.2309
O1 O 0.1558 0.3115 0.4754
O2 O 0.1605 0.3211 0.7951
O3 O 0.2997 0.1499 0.6351
O4 O 0.3671 0.1835 0.1375
O5 O 0.5089 0.0179 0.2958
O6 O 0.5109 0.0219 0.9777

***

[3]
# BaCaS2O8, relaxed, DFT GGA-PBE
# spin magnetization	0.00	Bohr magnetons per cell
# energy relative to the elements, uncorrected	-2556	kJ/mol of formula units
# Fermi-level density of states	0.00	states/eV/f.u.
data_BaCaS2O8
_chemical_formula_sum 'Ba1 Ca1 S2 O8'
_space_group_name_H-M_alt 'P -3'
_space_group_IT_number 147
_space_group_name_Hall '-P 3'
_cell_length_a 5.3772
_cell_length_b 5.3772
_cell_length_c 7.8944
_cell_angle_alpha 90.00
_cell_angle_beta 90.00
_cell_angle_gamma 120.00
loop_
_atom_site_label
_atom_site_type_symbol
_atom_site_fract_x
_atom_site_fract_y
_atom_site_fract_z
Ba1 Ba 0.0000 0.0000 0.0000
Ca1 Ca 0.0000 0.0000 0.5000
S1 S 0.3333 0.6667 0.7642
O1 O 0.1809 0.3648 0.7018
O2 O 0.3333 0.6667 0.9523

***

[4]
# Ba3CaSb2O6, relaxed, DFT GGA-PBE
# spin magnetization	0.00	Bohr magnetons per cell
# energy relative to the elements, uncorrected	-2506	kJ/mol of formula units
# Fermi-level density of states	3.60	states/eV/f.u.
data_Ba3CaSb2O6
_chemical_formula_sum 'Ba3 Ca1 Sb2 O6'
_space_group_name_H-M_alt 'P -3 m 1'
_space_group_IT_number 164
_space_group_name_Hall '-P 3 2"'
_cell_length_a 6.0902
_cell_length_b 6.0902
_cell_length_c 7.1583
_cell_angle_alpha 90.00
_cell_angle_beta 90.00
_cell_angle_gamma 120.00
loop_
_atom_site_label
_atom_site_type_symbol
_atom_site_fract_x
_atom_site_fract_y
_atom_site_fract_z
Ba1 Ba 0.0000 0.0000 0.0000
Ba2 Ba 0.3333 0.6667 0.6418
Ca1 Ca 0.0000 0.0000 0.5000
Sb1 Sb 0.3333 0.6667 0.1453
O1 O 0.1770 0.3540 0.3102